Density functional theory data (PBE-GGA) for an optimized crystal structure of RbFeGe.

## Properties
**Mass density**: 3936 kg/m³
**Energy above the lowest structure with this stoichiometry**: 88.5 meV/atom
**DFT total energy**: -3.473 eV per atom
**Crystal system**: cubic
**Total magnetic moment**: 2.5 μB per cell

Geometry as extended XYZ:
```
3
Lattice="0.000 3.561 3.561 3.561 0.000 3.561 3.561 3.561 0.000" Properties=species:S:1:pos:R:3 pbc="T T T"
Rb 0.000 0.000 0.000
Fe 3.561 3.561 3.561
Ge 5.341 5.341 5.341
```